*1*
The following is a PBE calculation of crystalline BaWS3 at its relaxed geometry, from the Open Quantum Materials Database. Values from VASP.

The structure in Quantum ESPRESSO input format:
```
&SYSTEM
  ibrav = 0, nat = 10, ntyp = 3
/
ATOMIC_SPECIES
Ba 137.33 Ba.upf
W 183.84 W.upf
S 32.06 S.upf
CELL_PARAMETERS angstrom
3.3838 -5.8599 0.0000
3.3838 5.8599 0.0000
0.0000 0.0000 5.8843
ATOMIC_POSITIONS angstrom
Ba 3.3838 3.9090 2.9421
Ba 3.3838 -3.9090 0.0000
W 3.3838 -0.0043 1.4677
W 3.3838 0.0043 4.4098
S 1.6932 0.9764 2.9366
S 1.6932 -0.9764 5.8788
S 3.3838 1.9541 0.0016
S 3.3838 -1.9541 2.9437
S 5.0745 0.9764 2.9366
S 5.0745 -0.9764 5.8788
```

*2*
The following is a PBE calculation of crystalline BaWS3 at its relaxed geometry, from the Open Quantum Materials Database. Values from VASP.

The structure in Quantum ESPRESSO input format:
```
&SYSTEM
  ibrav = 0, nat = 10, ntyp = 3
/
ATOMIC_SPECIES
Ba 137.33 Ba.upf
W 183.84 W.upf
S 32.06 S.upf
CELL_PARAMETERS angstrom
5.9551 0.0000 0.0000
-0.4440 6.7527 0.0000
-0.4563 -3.3866 5.8422
ATOMIC_POSITIONS angstrom
Ba 0.0000 0.0000 0.0000
Ba 2.5230 3.2901 2.0028
W 1.0842 -0.0813 3.9004
W 4.0615 -0.0503 3.8843
S -0.3930 1.6177 2.9217
S -0.4109 -0.0314 5.8269
S 2.5735 -0.0702 1.9510
S 2.5844 -1.7478 4.8670
S 2.5667 1.5921 4.8913
S 5.1077 5.0078 2.9162
```

Winner for stability: *2*

*1*
The following is a PBE calculation of crystalline Ba2YTcSe6 at its relaxed geometry, from the Open Quantum Materials Database. Values from VASP.

The structure in Quantum ESPRESSO input format:
```
&SYSTEM
  ibrav = 0, nat = 10, ntyp = 4
/
ATOMIC_SPECIES
Ba 137.33 Ba.upf
Y 88.91 Y.upf
Tc 98.00 Tc.upf
Se 78.96 Se.upf
CELL_PARAMETERS angstrom
7.2274 0.0000 0.0000
3.5341 6.3609 0.0000
3.4825 1.9247 6.1557
ATOMIC_POSITIONS angstrom
Ba 3.5524 2.0907 1.5134
Ba 10.6916 6.1949 4.6423
Y 7.1220 4.1428 3.0778
Tc 0.0000 0.0000 0.0000
Se 5.1806 3.3123 4.9034
Se 6.9962 6.6584 4.2281
Se 5.3320 5.0019 1.1299
Se 8.9120 3.2836 5.0258
Se 7.2478 1.6271 1.9276
Se 9.0634 4.9733 1.2523
```

*2*
The following is a PBE calculation of crystalline Ba2YTcSe6 at its relaxed geometry, from the Open Quantum Materials Database. Values from VASP.

The structure in Quantum ESPRESSO input format:
```
&SYSTEM
  ibrav = 0, nat = 10, ntyp = 4
/
ATOMIC_SPECIES
Ba 137.33 Ba.upf
Y 88.91 Y.upf
Tc 98.00 Tc.upf
Se 78.96 Se.upf
CELL_PARAMETERS angstrom
-3.6956 3.6956 5.2241
3.6956 -3.6956 5.2241
3.6956 3.6956 -5.2241
ATOMIC_POSITIONS angstrom
Ba 3.6956 0.0000 2.6121
Ba 0.0000 3.6956 2.6121
Y 0.0000 0.0000 0.0000
Tc 0.0000 0.0000 5.2241
Se 1.9911 1.8731 0.0000
Se 0.0000 0.0000 2.7321
Se 1.8224 -1.7045 5.2241
Se 1.8731 5.4000 0.0000
Se 0.0000 0.0000 7.7161
Se 1.7045 1.8224 5.2241
```

Winner for stability: *1*

*1*
The following is a PBE calculation of crystalline Ba2YTcSe6 at its relaxed geometry, from the Open Quantum Materials Database. Values from VASP.

The structure in Quantum ESPRESSO input format:
```
&SYSTEM
  ibrav = 0, nat = 10, ntyp = 4
/
ATOMIC_SPECIES
Ba 137.33 Ba.upf
Y 88.91 Y.upf
Tc 98.00 Tc.upf
Se 78.96 Se.upf
CELL_PARAMETERS angstrom
3.7633 2.1727 5.7610
-3.7633 2.1727 5.7610
0.0000 -4.3454 5.7610
ATOMIC_POSITIONS angstrom
Ba 0.0000 0.0000 4.3026
Ba 0.0000 0.0000 12.9803
Y 0.0000 0.0000 8.6415
Tc 0.0000 0.0000 0.0000
Se -0.4828 -2.3142 7.1791
Se -2.2455 -0.7390 10.1038
Se -1.7627 1.5752 7.1791
Se 1.7627 -1.5752 10.1038
Se 2.2455 0.7390 7.1791
Se 0.4828 2.3142 10.1038
```

*2*
The following is a PBE calculation of crystalline Ba2YTcSe6 at its relaxed geometry, from the Open Quantum Materials Database. Values from VASP.

The structure in Quantum ESPRESSO input format:
```
&SYSTEM
  ibrav = 0, nat = 10, ntyp = 4
/
ATOMIC_SPECIES
Ba 137.33 Ba.upf
Y 88.91 Y.upf
Tc 98.00 Tc.upf
Se 78.96 Se.upf
CELL_PARAMETERS angstrom
0.0000 5.2255 5.2255
5.2255 0.0000 5.2255
5.2255 5.2255 0.0000
ATOMIC_POSITIONS angstrom
Ba 2.6127 2.6127 2.6127
Ba 7.8382 7.8382 7.8382
Y 0.0000 0.0000 0.0000
Tc 5.2255 5.2255 5.2255
Se 5.2255 5.2255 2.7307
Se 5.2255 2.7307 5.2255
Se 7.7203 5.2255 5.2255
Se 2.7307 5.2255 5.2255
Se 5.2255 7.7203 5.2255
Se 5.2255 5.2255 7.7203
```

Winner for stability: *1*

*1*
The following is a PBE calculation of crystalline BaTaW at its relaxed geometry, from the Open Quantum Materials Database. Values from VASP.

The structure in Quantum ESPRESSO input format:
```
&SYSTEM
  ibrav = 0, nat = 3, ntyp = 3
/
ATOMIC_SPECIES
Ba 137.33 Ba.upf
Ta 180.95 Ta.upf
W 183.84 W.upf
CELL_PARAMETERS angstrom
0.0000 3.3315 3.3315
3.3315 0.0000 3.3315
3.3315 3.3315 0.0000
ATOMIC_POSITIONS angstrom
Ba 0.0000 0.0000 0.0000
Ta 4.9972 4.9972 4.9972
W 1.6657 1.6657 1.6657
```

*2*
The following is a PBE calculation of crystalline BaTaW at its relaxed geometry, from the Open Quantum Materials Database. Values from VASP.

The structure in Quantum ESPRESSO input format:
```
&SYSTEM
  ibrav = 0, nat = 3, ntyp = 3
/
ATOMIC_SPECIES
Ba 137.33 Ba.upf
Ta 180.95 Ta.upf
W 183.84 W.upf
CELL_PARAMETERS angstrom
0.0000 3.3830 3.3830
3.3830 0.0000 3.3830
3.3830 3.3830 0.0000
ATOMIC_POSITIONS angstrom
Ba 0.0000 0.0000 0.0000
Ta 3.3830 3.3830 3.3830
W 1.6915 1.6915 1.6915
```

Winner for stability: *2*